# 1
Compound: Tl2ReBr2
Source: Alexandria via LeMat-Bulk
Functional: GGA-PBE
Structure: optimized geometry

Computed properties:
As for the uncorrected energy: -0.116 hartree per atom. Its excess energy over the best structure of this formula in the dataset is 465 meV per atom. The formation energy without anion corrections is 0.9486 eV/atom.

a b c (Å): 4.362 4.362 9.401
angles (deg): 76.59 76.59 90.00
Last column: magnetic moment on the atom in μB.
Positions (direct):
1 Re 0.000 0.000 0.000  4.39
2 Tl 0.250 0.750 0.500  -0.01
3 Tl 0.750 0.250 0.500  -0.01
4 Br 0.599 0.599 0.802  0.12
5 Br 0.401 0.401 0.198  0.12

# 2
Compound: YLu2Ru
Source: Alexandria via LeMat-Bulk
Functional: GGA-PBE
Structure: optimized geometry

Computed properties:
As for the uncorrected energy: -0.239 hartree per atom. Its excess energy over the best structure of this formula in the dataset is 0 meV per atom.

a b c (Å): 3.384 3.384 8.720
angles (deg): 90.00 90.00 90.00
Positions (direct):
1 Ru 0.500 0.500 0.000
2 Lu 0.000 0.000 0.183
3 Lu 0.000 0.000 0.817
4 Y 0.500 0.500 0.500

# 3
Compound: NaAg2H
Source: Alexandria via LeMat-Bulk
Functional: GGA-PBE
Structure: optimized geometry

Computed properties:
As for the uncorrected energy: -0.073 hartree per atom. Its excess energy over the best structure of this formula in the dataset is 456 meV per atom.

a b c (Å): 4.582 4.582 4.582
angles (deg): 60.00 60.00 60.00
Positions (direct):
1 Na 0.500 0.500 0.500
2 Ag 0.750 0.750 0.750
3 Ag 0.250 0.250 0.250
4 H 0.000 0.000 0.000

# 4
Compound: CsBiBr2F
Source: Alexandria via LeMat-Bulk
Functional: GGA-PBE
Structure: optimized geometry

Computed properties:
As for the uncorrected energy: -0.126 hartree per atom. The formation energy without anion corrections is -1.4277 eV/atom.

a b c (Å): 6.177 6.177 4.648
angles (deg): 90.00 90.00 90.00
Last column: magnetic moment on the atom in μB.
Positions (direct):
1 Br 0.500 0.000 0.000  0.02
2 Br 0.000 0.500 0.000  0.02
3 Bi 0.000 0.000 0.000  0.30
4 Cs 0.500 0.500 0.500  0.00
5 F 0.000 0.000 0.500  0.02

# 5
Compound: NaCe2Hg
Source: Alexandria via LeMat-Bulk
Functional: GGA-PBE
Structure: optimized geometry

Computed properties:
As for the uncorrected energy: -0.120 hartree per atom.

a b c (Å): 3.188 3.188 12.660
angles (deg): 82.77 82.77 60.00
Last column: magnetic moment on the atom in μB.
Positions (direct):
1 Na 0.000 0.000 0.000  0.00
2 Ce 0.907 0.907 0.278  0.20
3 Ce 0.093 0.093 0.722  0.20
4 Hg 0.500 0.500 0.500  0.00

# 6
Compound: CaTl2CdBr6
Source: Alexandria via LeMat-Bulk
Functional: GGA-PBE
Structure: optimized geometry

Computed properties:
As for the uncorrected energy: -0.109 hartree per atom. The formation energy without anion corrections is -1.1872 eV/atom.

a b c (Å): 7.877 7.877 7.906
angles (deg): 60.12 60.12 60.00
Positions (direct):
1 Br 0.088 0.484 0.779
2 Br 0.155 0.994 0.273
3 Br 0.648 0.088 0.779
4 Br 0.578 0.155 0.273
5 Br 0.994 0.578 0.273
6 Br 0.484 0.648 0.779
7 Tl 0.538 0.538 0.385
8 Tl 0.040 0.040 0.881
9 Cd 0.318 0.318 0.047
10 Ca 0.818 0.818 0.546

# 7
Compound: Rb2PIF6
Source: Alexandria via LeMat-Bulk
Functional: GGA-PBE
Structure: optimized geometry

Computed properties:
As for the uncorrected energy: -0.163 hartree per atom. The formation energy without anion corrections is -2.4253 eV/atom.

a b c (Å): 6.967 6.967 6.967
angles (deg): 60.00 60.00 90.00
Positions (direct):
1 F 0.666 0.666 0.000
2 F 0.334 0.666 0.000
3 F 0.334 0.334 0.333
4 F 0.666 0.666 0.667
5 F 0.334 0.334 0.000
6 F 0.666 0.334 0.000
7 Rb 0.750 0.250 0.500
8 Rb 0.250 0.750 0.500
9 P 0.500 0.500 0.000
10 I 0.000 0.000 0.000

# 8
Compound: CePuZn
Source: Alexandria via LeMat-Bulk
Functional: GGA-PBE
Structure: optimized geometry

Computed properties:
As for the uncorrected energy: -0.266 hartree per atom. Its excess energy over the best structure of this formula in the dataset is 0 meV per atom.

a b c (Å): 3.711 3.711 5.635
angles (deg): 109.23 109.23 90.00
Last column: magnetic moment on the atom in μB.
Positions (direct):
1 Zn 0.666 0.666 0.331  0.01
2 Ce 0.336 0.336 0.671  0.82
3 Pu 0.999 0.999 0.997  5.41

# 9
Compound: Pr3CoTe
Source: Alexandria via LeMat-Bulk
Functional: GGA-PBE
Structure: optimized geometry

Computed properties:
As for the uncorrected energy: -0.194 hartree per atom. Its excess energy over the best structure of this formula in the dataset is 227 meV per atom. The formation energy without anion corrections is -0.3634 eV/atom.

a b c (Å): 5.333 5.333 5.333
angles (deg): 90.00 90.00 90.00
Positions (direct):
1 Pr 0.000 0.500 0.000
2 Pr 0.500 0.000 0.000
3 Pr 0.000 0.000 0.500
4 Co 0.000 0.000 0.000
5 Te 0.500 0.500 0.500

# 10
Compound: La3FeHg
Source: Alexandria via LeMat-Bulk
Functional: GGA-PBE
Structure: optimized geometry

Computed properties:
As for the uncorrected energy: -0.179 hartree per atom.

a b c (Å): 5.277 5.277 5.277
angles (deg): 90.00 90.00 90.00
Positions (direct):
1 La 0.500 0.000 0.000
2 La 0.000 0.000 0.500
3 La 0.000 0.500 0.000
4 Fe 0.000 0.000 0.000
5 Hg 0.500 0.500 0.500

# 11
Compound: ZrCo5Ru
Source: Alexandria via LeMat-Bulk
Functional: GGA-PBE
Structure: optimized geometry

Computed properties:
As for the uncorrected energy: -0.284 hartree per atom.

a b c (Å): 4.736 7.789 9.827
angles (deg): 90.00 90.00 90.00
Last column: magnetic moment on the atom in μB.
Positions (direct):
1 Co 0.250 0.094 0.477  1.30
2 Co 0.250 0.594 0.023  1.30
3 Co 0.750 0.058 0.910  1.39
4 Co 0.250 0.186 0.247  1.53
5 Co 0.250 0.686 0.253  1.53
6 Co 0.993 0.930 0.311  1.46
7 Co 0.750 0.814 0.753  1.53
8 Co 0.993 0.430 0.189  1.46
9 Co 0.250 0.442 0.410  1.39
10 Co 0.007 0.070 0.689  1.46
11 Co 0.493 0.070 0.689  1.46
12 Co 0.493 0.570 0.811  1.46
13 Co 0.750 0.906 0.523  1.30
14 Co 0.507 0.930 0.311  1.46
15 Co 0.007 0.570 0.811  1.46
16 Co 0.750 0.406 0.977  1.30
17 Co 0.507 0.430 0.189  1.46
18 Co 0.250 0.942 0.090  1.39
19 Co 0.750 0.314 0.747  1.53
20 Co 0.750 0.558 0.590  1.39
21 Ru 0.750 0.136 0.147  0.77
22 Ru 0.250 0.364 0.647  0.77
23 Ru 0.750 0.636 0.353  0.77
24 Ru 0.250 0.864 0.853  0.77
25 Zr 0.750 0.758 0.060  -0.32
26 Zr 0.250 0.242 0.940  -0.32
27 Zr 0.750 0.258 0.440  -0.32
28 Zr 0.250 0.742 0.560  -0.32

# 12
Compound: Ac2BRh6
Source: Alexandria via LeMat-Bulk
Functional: GGA-PBE
Structure: optimized geometry

Computed properties:
As for the uncorrected energy: -0.257 hartree per atom.

a b c (Å): 6.110 6.110 9.825
angles (deg): 90.00 90.00 120.00
Positions (direct):
1 Ac 0.333 0.667 0.874
2 Ac 0.667 0.333 0.374
3 Ac 0.000 0.000 0.133
4 Ac 0.000 0.000 0.633
5 Rh 0.008 0.504 0.621
6 Rh 0.504 0.008 0.121
7 Rh 0.180 0.820 0.380
8 Rh 0.496 0.992 0.621
9 Rh 0.639 0.820 0.380
10 Rh 0.504 0.496 0.121
11 Rh 0.820 0.639 0.880
12 Rh 0.180 0.361 0.380
13 Rh 0.361 0.180 0.880
14 Rh 0.496 0.504 0.621
15 Rh 0.992 0.496 0.121
16 Rh 0.820 0.180 0.880
17 B 0.667 0.333 0.738
18 B 0.333 0.667 0.238